[1]
First-principles (PBE-GGA) data for a relaxed structure of Nb6ReN, as listed in Alexandria.

Computed properties:
M_tot: 0.0 Bohr magnetons per cell
Calculated volume: 16.4 Å³ per atom
E: -10.50 eV per atom
Crystal system: triclinic
DOS at the Fermi energy: 0.5673 states/eV/atom
Raw formation energy: -0.35 eV/atom

Geometry as CIF:
```
data_Nb6ReN
_cell_length_a 4.788
_cell_length_b 5.417
_cell_length_c 5.505
_cell_angle_alpha 96.54
_cell_angle_beta 111.78
_cell_angle_gamma 91.35
_symmetry_space_group_name_H-M 'P -1'
_symmetry_Int_Tables_number 2
_symmetry_space_group_name_Hall '-P 1'
loop_
_atom_site_label
_atom_site_type_symbol
_atom_site_fract_x
_atom_site_fract_y
_atom_site_fract_z
_atom_site_occupancy
Nb1 Nb 0.065 0.283 0.148 1
Nb2 Nb 0.206 0.848 0.442 1
Nb3 Nb 0.409 0.402 0.744 1
Re1 Re 0.500 0.000 0.000 1
N1 N 0.000 0.500 0.500 1
```

[2]
First-principles (PBE-GGA) data for a relaxed structure of NbReN2, as listed in Alexandria.

Computed properties:
M_tot: 0.0 Bohr magnetons per cell
Calculated volume: 12.5 Å³ per atom
E: -9.88 eV per atom
Crystal system: trigonal
DOS at the Fermi energy: 1.0101 states/eV/atom
Distance to the lowest polymorph of the same formula: 2.7 kJ per mole of atoms
Raw formation energy: -0.09 eV/atom

Geometry as CIF:
```
data_NbReN2
_cell_length_a 3.0017
_cell_length_b 3.0017
_cell_length_c 19.2114
_cell_angle_alpha 90.00
_cell_angle_beta 90.00
_cell_angle_gamma 120.00
_symmetry_space_group_name_H-M 'R -3 m'
_symmetry_Int_Tables_number 166
_symmetry_space_group_name_Hall '-R 3 2"'
loop_
_atom_site_label
_atom_site_type_symbol
_atom_site_fract_x
_atom_site_fract_y
_atom_site_fract_z
_atom_site_occupancy
Nb1 Nb 0.0000 0.0000 0.0000 1
Re1 Re 0.0000 0.0000 0.5000 1
N1 N 0.0000 0.0000 0.3987 1
```

[3]
First-principles (PBE-GGA) data for a relaxed structure of NbReN2, as listed in Alexandria.

Computed properties:
M_tot: 0.0 Bohr magnetons per cell
Calculated volume: 12.7 Å³ per atom
E: -9.91 eV per atom
Crystal system: tetragonal
DOS at the Fermi energy: 0.6962 states/eV/atom
Distance to the lowest polymorph of the same formula: 0.0 kJ per mole of atoms
Raw formation energy: -0.12 eV/atom

Geometry as CIF:
```
data_NbReN2
_cell_length_a 4.306
_cell_length_b 4.306
_cell_length_c 10.979
_cell_angle_alpha 90.00
_cell_angle_beta 90.00
_cell_angle_gamma 90.00
_symmetry_space_group_name_H-M 'I -4 2 d'
_symmetry_Int_Tables_number 122
_symmetry_space_group_name_Hall 'I -4 2bw'
loop_
_atom_site_label
_atom_site_type_symbol
_atom_site_fract_x
_atom_site_fract_y
_atom_site_fract_z
_atom_site_occupancy
Nb1 Nb 0.000 0.000 0.000 1
Re1 Re 0.000 0.000 0.500 1
N1 N 0.223 0.250 0.625 1
```